Entry 1:
This record from Alexandria describes BeTcIO2 after structural relaxation. The functional is PBE.

Computed properties:
Density of states at the Fermi level (states/eV/f.u.): 3.89
Polymorph energy (0 for the lowest one) (eV/f.u.): 3.11
SG: P4/mmm
Raw formation energy (eV per atom): 0.321
Total magnetic moment (μB per formula unit): 2.73

Lattice parameters (Å, degrees): 3.7333 3.7333 5.0887 90.00 90.00 90.00
Fractional coordinates of all 5 atoms:
I  0.0000  0.0000  0.5000
Be  0.0000  0.0000  0.0000
Tc  0.5000  0.5000  0.5000
O  0.0000  0.5000  0.0000
O  0.5000  0.0000  0.0000


Entry 2:
This record from Alexandria describes Pr12Dy3Mg after structural relaxation. The functional is PBE.

Computed properties:
Density of states at the Fermi level (states/eV/f.u.): 22.25
Energy of formation (meV per atom): 7
SG: P4/mmm
Total magnetic moment (μB per formula unit): 0.00

Lattice parameters (Å, degrees): 5.1584 5.1584 20.7311 90.00 90.00 90.00
Fractional coordinates of all 16 atoms:
Pr  0.5000  0.5000  0.0000
Pr  0.5000  0.5000  0.2474
Pr  0.5000  0.5000  0.5000
Pr  0.5000  0.5000  0.7526
Pr  0.5000  0.0000  0.1231
Pr  0.5000  0.0000  0.3741
Pr  0.5000  0.0000  0.6259
Pr  0.5000  0.0000  0.8769
Pr  0.0000  0.5000  0.1231
Pr  0.0000  0.5000  0.3741
Pr  0.0000  0.5000  0.6259
Pr  0.0000  0.5000  0.8769
Dy  0.0000  0.0000  0.2481
Dy  0.0000  0.0000  0.5000
Dy  0.0000  0.0000  0.7519
Mg  0.0000  0.0000  0.0000


Entry 3:
This record from Alexandria describes MgNi2As after structural relaxation. The functional is PBE.

Computed properties:
Density of states at the Fermi level (states/eV/f.u.): 2.34
Energy of formation (meV per atom): -50
SG: F-43m
Total magnetic moment (μB per formula unit): 0.00

Lattice parameters (Å, degrees): 4.2657 4.2657 4.2657 60.00 60.00 60.00
Fractional coordinates of all 4 atoms:
As  0.5000  0.5000  0.5000
Mg  0.7500  0.7500  0.7500
Ni  0.0000  0.0000  0.0000
Ni  0.2500  0.2500  0.2500


Entry 4:
This record from Alexandria describes CeSmHo14 after structural relaxation. The functional is PBE.

Computed properties:
Density of states at the Fermi level (states/eV/f.u.): 28.21
Energy of formation (meV per atom): 67
SG: Amm2
Total magnetic moment (μB per formula unit): 0.65

Lattice parameters (Å, degrees): 6.9048 6.9048 11.1110 90.00 90.00 108.94
Fractional coordinates of all 16 atoms:
Ce  0.1395  0.8605  0.5000
Sm  0.6988  0.3012  0.5000
Ho  0.1043  0.8957  0.0000
Ho  0.5552  0.4448  0.0000
Ho  0.2145  0.3708  0.5000
Ho  0.0378  0.3752  0.0000
Ho  0.6292  0.7855  0.5000
Ho  0.6248  0.9622  0.0000
Ho  0.4124  0.1639  0.7502
Ho  0.4124  0.1639  0.2498
Ho  0.8361  0.5876  0.7502
Ho  0.8361  0.5876  0.2498
Ho  0.3481  0.6519  0.7666
Ho  0.3481  0.6519  0.2334
Ho  0.9013  0.0987  0.7363
Ho  0.9013  0.0987  0.2637


Entry 5:
This record from Alexandria describes Tb2Pr2Y4Sc after structural relaxation. The functional is PBE.

Computed properties:
Density of states at the Fermi level (states/eV/f.u.): 13.24
Energy of formation (meV per atom): 15
SG: C2/m
Total magnetic moment (μB per formula unit): 0.00

Lattice parameters (Å, degrees): 3.6059 9.4929 9.5579 115.01 90.00 100.95
Fractional coordinates of all 9 atoms:
Tb  0.8529  0.7058  0.3369
Tb  0.1471  0.2942  0.6631
Pr  0.3376  0.6751  0.0028
Pr  0.6624  0.3249  0.9972
Y  0.8152  0.6305  0.6659
Y  0.1848  0.3695  0.3341
Y  0.5195  0.0390  0.3307
Y  0.4805  0.9610  0.6693
Sc  0.0000  0.0000  0.0000


Entry 6:
This record from Alexandria describes Pm4Sm2Dy3 after structural relaxation. The functional is PBE.

Computed properties:
Density of states at the Fermi level (states/eV/f.u.): 12.32
Polymorph energy (0 for the lowest one) (eV/f.u.): 0.03
Energy of formation (meV per atom): 86
SG: C2/c
Total magnetic moment (μB per formula unit): 0.00

Lattice parameters (Å, degrees): 6.2097 11.3882 11.3882 62.19 62.09 62.09
Fractional coordinates of all 18 atoms:
Pm  0.4193  0.9069  0.1877
Pm  0.0807  0.8123  0.0931
Pm  0.5807  0.0931  0.8123
Pm  0.9193  0.1877  0.9069
Pm  0.0801  0.1455  0.4272
Pm  0.4199  0.5728  0.8545
Pm  0.9199  0.8545  0.5728
Pm  0.5801  0.4272  0.1455
Sm  0.4192  0.2412  0.5207
Sm  0.0808  0.4793  0.7588
Sm  0.5808  0.7588  0.4793
Sm  0.9192  0.5207  0.2412
Dy  0.7479  0.0676  0.2663
Dy  0.7521  0.7337  0.9324
Dy  0.2521  0.9324  0.7337
Dy  0.2479  0.2663  0.0676
Dy  0.2500  0.5994  0.4006
Dy  0.7500  0.4006  0.5994


Entry 7:
This record from Alexandria describes Pr3Ga4Pd2 after structural relaxation. The functional is PBE.

Computed properties:
Density of states at the Fermi level (states/eV/f.u.): 7.85
Energy of formation (meV per atom): -718
SG: C2/m
Total magnetic moment (μB per formula unit): 0.00

Lattice parameters (Å, degrees): 4.4182 6.0468 8.6492 107.65 90.00 111.43
Fractional coordinates of all 9 atoms:
Pr  0.6223  0.2446  0.6914
Pr  0.0000  0.0000  0.0000
Pr  0.3777  0.7554  0.3086
Ga  0.7197  0.4395  0.0683
Ga  0.2803  0.5605  0.9317
Ga  0.9014  0.8027  0.5910
Ga  0.0986  0.1973  0.4090
Pd  0.6811  0.3623  0.3444
Pd  0.3189  0.6377  0.6556


Entry 8:
This record from Alexandria describes Na2ZnIn after structural relaxation. The functional is PBE.

Computed properties:
Density of states at the Fermi level (states/eV/f.u.): 2.02
Energy of formation (meV per atom): 58
SG: Fm-3m
Total magnetic moment (μB per formula unit): 0.00

Lattice parameters (Å, degrees): 5.2278 5.2278 5.2278 60.00 60.00 60.00
Fractional coordinates of all 4 atoms:
Na  0.2500  0.2500  0.2500
Na  0.7500  0.7500  0.7500
Zn  0.0000  0.0000  0.0000
In  0.5000  0.5000  0.5000


Entry 9:
This record from Alexandria describes KMgSe2N after structural relaxation. The functional is PBE.

Computed properties:
Density of states at the Fermi level (states/eV/f.u.): 4.26
Polymorph energy (0 for the lowest one) (eV/f.u.): 5.17
SG: P4/mmm
Raw formation energy (eV per atom): 1.193
Total magnetic moment (μB per formula unit): 3.84

Lattice parameters (Å, degrees): 5.7513 5.7513 4.7946 90.00 90.00 90.00
Fractional coordinates of all 5 atoms:
K  0.0000  0.0000  0.0000
Mg  0.5000  0.5000  0.5000
Se  0.0000  0.5000  0.0000
Se  0.5000  0.0000  0.0000
N  0.0000  0.0000  0.5000


Entry 10:
This record from Alexandria describes BaTaP3 after structural relaxation. The functional is PBE.

Computed properties:
Density of states at the Fermi level (states/eV/f.u.): 6.88
Polymorph energy (0 for the lowest one) (eV/f.u.): 13.94
Energy of formation (meV per atom): 2258
SG: Pm-3m
Total magnetic moment (μB per formula unit): 0.00

Lattice parameters (Å, degrees): 5.2730 5.2730 5.2730 90.00 90.00 90.00
Fractional coordinates of all 5 atoms:
P  0.0000  0.5000  0.0000
P  0.0000  0.0000  0.5000
P  0.5000  0.0000  0.0000
Ba  0.0000  0.0000  0.0000
Ta  0.5000  0.5000  0.5000


Entry 11:
This record from Alexandria describes Er5In2Ir2Rh after structural relaxation. The functional is PBE.

Computed properties:
Density of states at the Fermi level (states/eV/f.u.): 4.61
Energy of formation (meV per atom): -679
SG: P4/mbm
Total magnetic moment (μB per formula unit): 0.00

Lattice parameters (Å, degrees): 3.5416 11.5364 11.5364 90.00 90.00 90.00
Fractional coordinates of all 20 atoms:
Er  0.5000  0.1954  0.0670
Er  0.5000  0.8046  0.9330
Er  0.5000  0.0670  0.8046
Er  0.5000  0.6954  0.4330
Er  0.5000  0.9330  0.1954
Er  0.5000  0.3046  0.5670
Er  0.5000  0.5670  0.6954
Er  0.5000  0.4330  0.3046
Er  0.5000  0.5000  0.0000
Er  0.5000  0.0000  0.5000
In  0.0000  0.6773  0.1773
In  0.0000  0.3227  0.8227
In  0.0000  0.1773  0.3227
In  0.0000  0.8227  0.6773
Ir  0.0000  0.1363  0.6363
Ir  0.0000  0.8637  0.3637
Ir  0.0000  0.6363  0.8637
Ir  0.0000  0.3637  0.1363
Rh  0.0000  0.0000  0.0000
Rh  0.0000  0.5000  0.5000


Entry 12:
This record from Alexandria describes Ca2MgW after structural relaxation. The functional is PBE.

Computed properties:
Density of states at the Fermi level (states/eV/f.u.): 4.56
Energy of formation (meV per atom): 682
SG: Pmm2
Total magnetic moment (μB per formula unit): 0.79

Lattice parameters (Å, degrees): 3.2404 3.8193 8.5485 90.00 90.00 90.00
Fractional coordinates of all 4 atoms:
Ca  0.0000  0.0000  0.9387
Ca  0.5000  0.5000  0.3019
Mg  0.0000  0.0000  0.5530
W  0.5000  0.5000  0.7065